VASP calculation (PBE) on a relaxed HfAlAsO crystal.

POSCAR file:
```
HfAlAsO
1.0
3.616 0.000 0.000
0.000 6.575 0.000
0.000 0.000 5.375
O Hf Al As
2 2 2 2
direct
0.500 0.298 0.377 O
0.500 0.702 0.877 O
0.000 0.127 0.377 Hf
0.000 0.873 0.877 Hf
0.500 0.503 0.624 Al
0.500 0.497 0.124 Al
0.000 0.285 0.876 As
0.000 0.715 0.376 As
```

## Properties
Spin magnetization in μB per formula unit: 0.0
Symmetry: Pmc2_1
ΔE to the lowest computed polymorph in meV per atom: 59